# BiPdRuRh2 PBEsol relaxed
data_BiPdRuRh2
_cell_length_a 4.8380
_cell_length_b 4.8380
_cell_length_c 4.8868
_cell_angle_alpha 90.00
_cell_angle_beta 90.00
_cell_angle_gamma 90.00
_symmetry_space_group_name_H-M 'P 1'
_symmetry_Int_Tables_number 1
_symmetry_space_group_name_Hall 'P 1'
loop_
_atom_site_label
_atom_site_type_symbol
_atom_site_fract_x
_atom_site_fract_y
_atom_site_fract_z
_atom_site_occupancy
Rh1 Rh 0.0000 0.5000 0.0000 1
Rh2 Rh 0.5000 0.0000 0.0000 1
Ru1 Ru 0.0000 0.0000 0.5000 1
Bi1 Bi 0.0000 0.0000 0.0000 1
Pd1 Pd 0.5000 0.5000 0.5000 1
# **DFT total energy**: -5.382 eV per atom
# **Size of the total moment**: 2.77 μB per cell
# **Mass density**: 9.0 g/cm³


# BiTePd2Rh PBEsol relaxed
data_BiTePd2Rh
_cell_length_a 4.9395
_cell_length_b 4.9513
_cell_length_c 4.9513
_cell_angle_alpha 90.00
_cell_angle_beta 90.00
_cell_angle_gamma 90.00
_symmetry_space_group_name_H-M 'P 1'
_symmetry_Int_Tables_number 1
_symmetry_space_group_name_Hall 'P 1'
loop_
_atom_site_label
_atom_site_type_symbol
_atom_site_fract_x
_atom_site_fract_y
_atom_site_fract_z
_atom_site_occupancy
Bi1 Bi 0.0000 0.0000 0.0000 1
Te1 Te 0.5000 0.5000 0.5000 1
Rh1 Rh 0.5000 0.0000 0.0000 1
Pd1 Pd 0.0000 0.0000 0.5000 1
Pd2 Pd 0.0000 0.5000 0.0000 1
# **Size of the total moment**: 0.00 μB per cell
# **Mass density**: 8.9 g/cm³
# **Energy relative to the elements, uncorrected**: 406 kJ/mol of formula units


# Bi3PdRu PBEsol relaxed
data_Bi3PdRu
_cell_length_a 5.1417
_cell_length_b 5.1417
_cell_length_c 5.1417
_cell_angle_alpha 90.00
_cell_angle_beta 90.00
_cell_angle_gamma 90.00
_symmetry_space_group_name_H-M 'P 1'
_symmetry_Int_Tables_number 1
_symmetry_space_group_name_Hall 'P 1'
loop_
_atom_site_label
_atom_site_type_symbol
_atom_site_fract_x
_atom_site_fract_y
_atom_site_fract_z
_atom_site_occupancy
Pd1 Pd 0.5000 0.5000 0.5000 1
Bi1 Bi 0.0000 0.5000 0.0000 1
Bi2 Bi 0.0000 0.0000 0.5000 1
Bi3 Bi 0.5000 0.0000 0.0000 1
Ru1 Ru 0.0000 0.0000 0.0000 1
# **DFT total energy**: -5.134 eV per atom
# **Size of the total moment**: 0.00 μB per cell
# **Mass density**: 10.2 g/cm³


# TcBiPd2Ru PBEsol relaxed
data_TcBiPd2Ru
_cell_length_a 4.6962
_cell_length_b 4.6962
_cell_length_c 5.0247
_cell_angle_alpha 90.00
_cell_angle_beta 90.00
_cell_angle_gamma 90.00
_symmetry_space_group_name_H-M 'P 1'
_symmetry_Int_Tables_number 1
_symmetry_space_group_name_Hall 'P 1'
loop_
_atom_site_label
_atom_site_type_symbol
_atom_site_fract_x
_atom_site_fract_y
_atom_site_fract_z
_atom_site_occupancy
Bi1 Bi 0.0000 0.0000 0.5000 1
Pd1 Pd 0.0000 0.5000 0.0000 1
Pd2 Pd 0.5000 0.0000 0.0000 1
Ru1 Ru 0.0000 0.0000 0.0000 1
Tc1 Tc 0.5000 0.5000 0.5000 1
# **DFT total energy**: -5.885 eV per atom
# **Size of the total moment**: 3.91 μB per cell
# **Mass density**: 9.3 g/cm³


# Ti2BiPdRu PBEsol relaxed
data_Ti2BiPdRu
_cell_length_a 4.7885
_cell_length_b 5.0388
_cell_length_c 5.0388
_cell_angle_alpha 90.00
_cell_angle_beta 90.00
_cell_angle_gamma 90.00
_symmetry_space_group_name_H-M 'P 1'
_symmetry_Int_Tables_number 1
_symmetry_space_group_name_Hall 'P 1'
loop_
_atom_site_label
_atom_site_type_symbol
_atom_site_fract_x
_atom_site_fract_y
_atom_site_fract_z
_atom_site_occupancy
Pd1 Pd 0.5000 0.0000 0.0000 1
Ti1 Ti 0.0000 0.0000 0.5000 1
Ti2 Ti 0.0000 0.5000 0.0000 1
Ru1 Ru 0.5000 0.5000 0.5000 1
Bi1 Bi 0.0000 0.0000 0.0000 1
# **DFT total energy**: -5.779 eV per atom
# **Size of the total moment**: 0.16 μB per cell
# **Mass density**: 7.0 g/cm³


# BiPd3S PBEsol relaxed
data_BiPd3S
_cell_length_a 4.5286
_cell_length_b 4.5286
_cell_length_c 4.5286
_cell_angle_alpha 90.00
_cell_angle_beta 90.00
_cell_angle_gamma 90.00
_symmetry_space_group_name_H-M 'P 1'
_symmetry_Int_Tables_number 1
_symmetry_space_group_name_Hall 'P 1'
loop_
_atom_site_label
_atom_site_type_symbol
_atom_site_fract_x
_atom_site_fract_y
_atom_site_fract_z
_atom_site_occupancy
Bi1 Bi 0.5000 0.5000 0.5000 1
Pd1 Pd 0.0000 0.0000 0.5000 1
Pd2 Pd 0.5000 0.0000 0.0000 1
Pd3 Pd 0.0000 0.5000 0.0000 1
S1 S 0.0000 0.0000 0.0000 1
# **Size of the total moment**: 0.00 μB per cell
# **Mass density**: 10.0 g/cm³
# **Energy relative to the elements, uncorrected**: -73 kJ/mol of formula units


| no. | D(E_F) (states/eV/f.u.) |
| --- | --- |
| 1 | 6.8 |
| 2 | 2.3 |
| 3 | 3.6 |
| 4 | 7.4 |
| 5 | 4.2 |
| 6 | 3.2 |